Entry 1:
Compound: Ba7Bi2AsO2
Source: Alexandria
Functional: PBE
Structure: optimized geometry Values from VASP.

The structure in Quantum ESPRESSO input format:
```
&SYSTEM
  ibrav = 0, nat = 12, ntyp = 4
/
ATOMIC_SPECIES
Ba 137.33 Ba.upf
Bi 208.98 Bi.upf
As 74.92 As.upf
O 16.00 O.upf
CELL_PARAMETERS angstrom
-2.6937 2.6937 14.6884
2.6937 -2.6937 14.6884
2.6937 2.6937 -14.6884
ATOMIC_POSITIONS crystal
Ba 0.0000 0.0000 0.0000
Ba 0.0926 0.5926 0.5000
Ba 0.1999 0.1999 0.0000
Ba 0.4074 0.9074 0.5000
Ba 0.5926 0.0926 0.5000
Ba 0.8001 0.8001 0.0000
Ba 0.9074 0.4074 0.5000
Bi 0.3219 0.3219 0.0000
Bi 0.6781 0.6781 0.0000
As 0.5000 0.5000 0.0000
O 0.0916 0.0916 0.0000
O 0.9084 0.9084 0.0000
```

## Properties
energy relative to the elements, uncorrected	-1.416	eV per atom

Entry 2:
Compound: AcPr3Pb
Source: Alexandria
Functional: PBE
Structure: optimized geometry Values from VASP.

The structure in Quantum ESPRESSO input format:
```
&SYSTEM
  ibrav = 0, nat = 20, ntyp = 3
/
ATOMIC_SPECIES
Ac 227.00 Ac.upf
Pr 140.91 Pr.upf
Pb 207.20 Pb.upf
CELL_PARAMETERS angstrom
9.0651 0.0000 0.0000
0.0000 9.1668 0.0000
-5.4914 0.0000 8.8237
ATOMIC_POSITIONS crystal
Ac 0.1752 0.0731 0.2808
Ac 0.1752 0.4269 0.7808
Ac 0.8248 0.5731 0.2192
Ac 0.8248 0.9269 0.7192
Pr 0.1132 0.6996 0.0788
Pr 0.1132 0.8004 0.5788
Pr 0.2615 0.0635 0.9725
Pr 0.2615 0.4365 0.4725
Pr 0.4101 0.0945 0.6923
Pr 0.4101 0.4055 0.1923
Pr 0.5899 0.5945 0.8077
Pr 0.5899 0.9055 0.3077
Pr 0.7385 0.5635 0.5275
Pr 0.7385 0.9365 0.0275
Pr 0.8868 0.1996 0.4212
Pr 0.8868 0.3004 0.9212
Pb 0.3998 0.7347 0.9736
Pb 0.3998 0.7653 0.4736
Pb 0.6002 0.2347 0.5264
Pb 0.6002 0.2653 0.0264
```

## Properties
formation energy	-0.833	eV per formula unit

Entry 3:
Compound: ReI3O
Source: Alexandria
Functional: PBE
Structure: optimized geometry Values from VASP.

The structure in Quantum ESPRESSO input format:
```
&SYSTEM
  ibrav = 0, nat = 20, ntyp = 3
/
ATOMIC_SPECIES
Re 186.21 Re.upf
I 126.90 I.upf
O 16.00 O.upf
CELL_PARAMETERS angstrom
7.4190 0.0000 0.0000
0.0000 11.7246 0.0000
-0.7515 0.0000 11.6958
ATOMIC_POSITIONS crystal
Re 0.0672 0.2259 0.1444
Re 0.0672 0.7741 0.6444
Re 0.9328 0.2259 0.3556
Re 0.9328 0.7741 0.8556
I 0.0512 0.2675 0.5664
I 0.0512 0.7325 0.0664
I 0.2354 0.4201 0.1777
I 0.2354 0.5799 0.6777
I 0.3116 0.0802 0.0899
I 0.3116 0.9198 0.5899
I 0.6884 0.0802 0.4101
I 0.6884 0.9198 0.9101
I 0.7646 0.4201 0.3223
I 0.7646 0.5799 0.8223
I 0.9488 0.2675 0.9336
I 0.9488 0.7325 0.4336
O 0.1431 0.1680 0.3093
O 0.1431 0.8320 0.8093
O 0.8569 0.1680 0.1907
O 0.8569 0.8320 0.6907
```

## Properties
energy relative to the elements, uncorrected	-0.263	eV per atom
energy above the most stable polymorph in this dataset	0	meV/atom

Entry 4:
Compound: CsAu2I3
Source: Alexandria
Functional: PBE
Structure: optimized geometry Values from VASP.

The structure in Quantum ESPRESSO input format:
```
&SYSTEM
  ibrav = 0, nat = 12, ntyp = 3
/
ATOMIC_SPECIES
Cs 132.91 Cs.upf
Au 196.97 Au.upf
I 126.90 I.upf
CELL_PARAMETERS angstrom
13.7004 -2.5404 0.0000
13.7004 2.5404 0.0000
-1.9586 0.0000 7.9543
ATOMIC_POSITIONS crystal
Cs 0.1498 0.1498 0.3683
Cs 0.8502 0.8502 0.6317
Au 0.1764 0.1764 0.8458
Au 0.4492 0.4492 0.0117
Au 0.5508 0.5508 0.9883
Au 0.8236 0.8236 0.1542
I 0.0838 0.0838 0.8697
I 0.2648 0.2648 0.7842
I 0.4565 0.4565 0.6862
I 0.5435 0.5435 0.3138
I 0.7352 0.7352 0.2158
I 0.9162 0.9162 0.1303
```

## Properties
energy relative to the elements, uncorrected	-0.484	eV per atom

Entry 5:
Compound: Ti3ZnN
Source: Alexandria
Functional: PBE
Structure: optimized geometry Values from VASP.

The structure in Quantum ESPRESSO input format:
```
&SYSTEM
  ibrav = 0, nat = 20, ntyp = 3
/
ATOMIC_SPECIES
Ti 47.87 Ti.upf
Zn 65.41 Zn.upf
N 14.01 N.upf
CELL_PARAMETERS angstrom
7.3757 0.0000 0.0000
0.0000 5.3211 0.0000
-3.0551 0.0000 7.1409
ATOMIC_POSITIONS crystal
Ti 0.0518 0.0839 0.3480
Ti 0.0518 0.4161 0.8480
Ti 0.1908 0.5663 0.5414
Ti 0.1908 0.9337 0.0414
Ti 0.3502 0.1196 0.7650
Ti 0.3502 0.3804 0.2650
Ti 0.6498 0.6196 0.7350
Ti 0.6498 0.8804 0.2350
Ti 0.8092 0.0663 0.9586
Ti 0.8092 0.4337 0.4586
Ti 0.9482 0.5839 0.1520
Ti 0.9482 0.9161 0.6520
Zn 0.3968 0.6608 0.9031
Zn 0.3968 0.8392 0.4031
Zn 0.6032 0.1608 0.5969
Zn 0.6032 0.3392 0.0969
N 0.0713 0.2493 0.6029
N 0.0713 0.2507 0.1029
N 0.9287 0.7493 0.8971
N 0.9287 0.7507 0.3971
```

## Properties
energy relative to the elements, uncorrected	-0.776	eV per atom
energy above the most stable polymorph in this dataset	124	meV/atom

Entry 6:
Compound: LaCoPt
Source: Alexandria
Functional: PBE
Structure: optimized geometry Values from VASP.

The structure in Quantum ESPRESSO input format:
```
&SYSTEM
  ibrav = 0, nat = 3, ntyp = 3
/
ATOMIC_SPECIES
La 138.91 La.upf
Co 58.93 Co.upf
Pt 195.08 Pt.upf
CELL_PARAMETERS angstrom
0.0000 3.1650 3.1650
3.1650 0.0000 3.1650
3.1650 3.1650 0.0000
ATOMIC_POSITIONS crystal
La 0.0000 0.0000 0.0000
Co 0.7500 0.7500 0.7500
Pt 0.5000 0.5000 0.5000
```

## Properties
formation energy	-0.802	eV per formula unit

Entry 7:
Compound: SrMgV2Te
Source: Alexandria
Functional: PBE
Structure: optimized geometry Values from VASP.

The structure in Quantum ESPRESSO input format:
```
&SYSTEM
  ibrav = 0, nat = 5, ntyp = 4
/
ATOMIC_SPECIES
Sr 87.62 Sr.upf
Mg 24.30 Mg.upf
V 50.94 V.upf
Te 127.60 Te.upf
CELL_PARAMETERS angstrom
5.6376 0.0000 0.0000
0.0000 5.6376 0.0000
0.0000 0.0000 5.9065
ATOMIC_POSITIONS crystal
Sr 0.0000 0.0000 0.0000
Mg 0.5000 0.5000 0.5000
V 0.0000 0.5000 0.0000
V 0.5000 0.0000 0.0000
Te 0.0000 0.0000 0.5000
```

## Properties
energy relative to the elements, uncorrected	1.595	eV per atom

Entry 8:
Compound: SrMnB2
Source: Alexandria
Functional: PBE
Structure: optimized geometry Values from VASP.

The structure in Quantum ESPRESSO input format:
```
&SYSTEM
  ibrav = 0, nat = 4, ntyp = 3
/
ATOMIC_SPECIES
Sr 87.62 Sr.upf
Mn 54.94 Mn.upf
B 10.81 B.upf
CELL_PARAMETERS angstrom
0.0000 3.0150 3.0150
3.0150 0.0000 3.0150
3.0150 3.0150 0.0000
ATOMIC_POSITIONS crystal
Sr 0.0000 0.0000 0.0000
Mn 0.5000 0.5000 0.5000
B 0.2500 0.2500 0.2500
B 0.7500 0.7500 0.7500
```

## Properties
formation energy	5.689	eV per formula unit
energy above the most stable polymorph in this dataset	1111	meV/atom